# 1
{
  "formula": "CoTcIr2",
  "functional": "PBE",
  "state": "optimized geometry",
  "cell": [[3.8042, 0.0000, 0.0000], [0.0000, 3.8042, 0.0000], [0.0000, 0.0000, 7.5509]],
  "species": ["Co", "Co", "Tc", "Tc", "Ir", "Ir", "Ir", "Ir"],
  "frac_coords": [[0.0000, 0.0000, 0.0000], [0.5000, 0.5000, 0.5000], [0.0000, 0.0000, 0.5000], [0.5000, 0.5000, 0.0000], [0.0000, 0.5000, 0.2500], [0.0000, 0.5000, 0.7500], [0.5000, 0.0000, 0.2500], [0.5000, 0.0000, 0.7500]],
  "dos_at_fermi_per_ev_fu": 5.01,
  "vol_a3_per_cell": 109.3,
  "formation_energy_ev_per_atom": -0.07,
  "de_polymorph_ev_per_fu": 0.08,
  "sg": "I4/mmm (139)"
}

=====

# 2
{
  "formula": "Cs2CeGa2O6",
  "functional": "PBE",
  "state": "optimized geometry",
  "cell": [[3.1137, 1.7977, 6.5684], [-3.1137, 1.7977, 6.5684], [0.0000, -3.5954, 6.5684]],
  "species": ["Cs", "Cs", "Ce", "Ga", "Ga", "O", "O", "O", "O", "O", "O"],
  "frac_coords": [[0.2083, 0.2083, 0.2083], [0.7917, 0.7917, 0.7917], [0.0000, 0.0000, 0.0000], [0.4006, 0.4006, 0.4006], [0.5994, 0.5994, 0.5994], [0.2370, 0.2370, 0.7350], [0.2370, 0.7350, 0.2370], [0.2650, 0.7630, 0.7630], [0.7350, 0.2370, 0.2370], [0.7630, 0.2650, 0.7630], [0.7630, 0.7630, 0.2650]],
  "dos_at_fermi_per_ev_fu": 0.00,
  "vol_a3_per_cell": 220.6,
  "formation_energy_uncorrected_mev_per_atom": -2106,
  "sg": "R-3m (166)"
}

=====

# 3
{
  "formula": "Nb4VRh5",
  "functional": "PBE",
  "state": "optimized geometry",
  "cell": [[2.8652, 0.0000, 0.0000], [0.0000, 2.8652, 0.0000], [0.0000, 0.0000, 18.9635]],
  "species": ["Nb", "Nb", "Nb", "Nb", "V", "Rh", "Rh", "Rh", "Rh", "Rh"],
  "frac_coords": [[0.0000, 0.0000, 0.1025], [0.0000, 0.0000, 0.3064], [0.0000, 0.0000, 0.6936], [0.0000, 0.0000, 0.8975], [0.0000, 0.0000, 0.5000], [0.5000, 0.5000, 0.0000], [0.5000, 0.5000, 0.2046], [0.5000, 0.5000, 0.4133], [0.5000, 0.5000, 0.5867], [0.5000, 0.5000, 0.7954]],
  "dos_at_fermi_per_ev_fu": 9.02,
  "vol_a3_per_cell": 155.7,
  "formation_energy_ev_per_atom": -0.41,
  "sg": "P4/mmm (123)"
}

=====

# 4
{
  "formula": "FeAsCBr2",
  "functional": "PBE",
  "state": "optimized geometry",
  "cell": [[4.6903, 0.0000, 0.0000], [0.0000, 4.6903, 0.0000], [0.0000, 0.0000, 4.3619]],
  "species": ["Fe", "As", "C", "Br", "Br"],
  "frac_coords": [[0.0000, 0.0000, 0.0000], [0.5000, 0.5000, 0.0000], [0.5000, 0.5000, 0.5000], [0.0000, 0.5000, 0.5000], [0.5000, 0.0000, 0.5000]],
  "dos_at_fermi_per_ev_fu": 3.57,
  "vol_a3_per_cell": 96.0,
  "de_polymorph_ev_per_fu": 0.00,
  "formation_energy_uncorrected_mev_per_atom": 1456,
  "sg": "P4/mmm (123)"
}

=====

Which formula does entry 4 have?
FeAsCBr2